Density functional theory data (PBE) for a geometry-optimized Tb3Ho4Co4 structure.

Values from the calculation:
Size of the total moment in μB per formula unit: 0.00
Space group: Immm, No. 71
E_form in meV/atom: -95
Total DFT energy (no corrections) in eV per atom: -5.607

```
Tb3Ho4Co4
1.0
-1.8071 4.3783 7.7389
1.8071 -4.3783 7.7389
1.8071 4.3783 -7.7389
Tb Ho Co
3 4 4
Direct
0.0000 0.0000 0.0000
0.3966 0.8966 0.5000
0.6034 0.1034 0.5000
0.0194 0.3341 0.6853
0.3512 0.6659 0.6853
0.6488 0.3341 0.3147
0.9806 0.6659 0.3147
0.2508 0.2508 0.0000
0.2847 0.5000 0.7847
0.7153 0.5000 0.2153
0.7492 0.7492 0.0000
```